# 1
4
Lattice="-3.202 2.336 0.753 -0.986 -2.357 3.123 4.426 4.518 4.808" Properties=species:S:1:pos:R:3 comment="GGA-PBE CaLa2Ge, relaxed" sg="No. 123" pbc="T T T"
Ge -2.094 -0.011 1.938
Ca 0.119 2.249 4.342
La 3.599 3.674 3.909
La 0.827 0.844 0.899

***

# 2
8
Lattice="9.136 0.000 0.000 0.000 9.136 0.000 4.568 4.568 3.294" Properties=species:S:1:pos:R:3 comment="GGA-PBE CaLa2Ge, relaxed" sg="No. 122" pbc="T T T"
La 1.750 6.852 0.824
Ge 0.000 0.000 0.000
Ge 9.136 4.568 1.647
La 6.852 6.318 2.471
Ca 4.568 9.136 1.647
La 7.386 2.284 0.824
La 11.419 11.953 2.471
Ca 4.568 4.568 0.000

***

# 3
10
Lattice="8.434 0.000 0.000 0.000 8.434 0.000 0.000 0.000 4.108" Properties=species:S:1:pos:R:3 comment="GGA-PBE CaLa2Ge2, relaxed" sg="No. 127" pbc="T T T"
La 1.135 5.352 2.054
La 7.299 3.082 2.054
Ge 2.795 7.012 0.000
Ca 0.000 0.000 0.000
Ge 1.422 2.795 0.000
Ca 4.217 4.217 0.000
Ge 5.639 1.422 0.000
La 3.082 1.135 2.054
Ge 7.012 5.639 0.000
La 5.352 7.299 2.054

***

# 4
5
Lattice="-4.755 1.105 1.861 -1.864 0.192 -4.876 -1.100 -5.102 0.220" Properties=species:S:1:pos:R:3 comment="GGA-PBE CaLaGe3, relaxed" sg="No. 221" pbc="T T T"
Ge -0.550 -2.551 0.110
Ge -2.377 0.552 0.931
Ge -0.932 0.096 -2.438
La -3.859 -1.903 -1.398
Ca 0.000 0.000 0.000

***

# 5
5
Lattice="5.576 0.000 0.000 0.000 5.576 0.000 0.000 0.000 5.576" Properties=species:S:1:pos:R:3 comment="GGA-PBE CaLaGe3, relaxed" sg="No. 221" pbc="T T T"
Ge 0.000 0.000 2.788
Ca 2.788 2.788 2.788
La 0.000 0.000 0.000
Ge 0.000 2.788 0.000
Ge 2.788 0.000 0.000

***

# 6
5
Lattice="-0.942 -3.887 -2.454 4.543 -1.170 0.110 0.805 -5.861 4.488" Properties=species:S:1:pos:R:3 comment="GGA-PBE CaLa2Ge2, relaxed" sg="No. 139" pbc="T T T"
Ca 0.000 0.000 0.000
La 0.832 -6.138 0.430
Ge 2.792 -7.767 2.258
La 3.574 -4.780 1.713
Ge 1.615 -3.151 -0.115

***

The records above yield volume values of 129; 275; 292; 143; 173; 146 Å³ per cell, respectively.
The records above yield formation enthalpy at 0 K values of -0.353; -0.184; -0.710; 0.237; 0.358; -0.422 eV per atom, respectively.